First-principles (GGA-PBE) data for a relaxed structure of Sr2ReAg, as listed in Alexandria.

a b c (Å): 5.261 5.261 5.261
angles (deg): 60.00 60.00 60.00
Sites, in units of the cell vectors:
Ag  0.500  0.500  0.500
Sr  0.000  0.000  0.000
Sr  0.250  0.250  0.250
Re  0.750  0.750  0.750

Values from the calculation:
- Fermi-level density of states (states/eV per cell) = 4.4
- offset from the most stable computed form (eV per formula unit) = 1.07



First-principles (GGA-PBE) data for a relaxed structure of Sr2ReAg, as listed in Alexandria.

a b c (Å): 5.389 5.389 5.389
angles (deg): 60.00 60.00 60.00
Sites, in units of the cell vectors:
Sr  0.750  0.750  0.750
Sr  0.250  0.250  0.250
Re  0.500  0.500  0.500
Ag  0.000  0.000  0.000

Values from the calculation:
- Fermi-level density of states (states/eV per cell) = 4.2
- offset from the most stable computed form (eV per formula unit) = 0.46



First-principles (GGA-PBE) data for a relaxed structure of Sr2TaReAg, as listed in Alexandria.

a b c (Å): 5.583 5.050 5.583
angles (deg): 90.00 90.00 90.00
Sites, in units of the cell vectors:
Ag  0.000  0.500  0.000
Ta  0.500  0.500  0.500
Sr  0.000  0.000  0.500
Sr  0.500  0.000  0.000
Re  0.000  0.000  0.000

Values from the calculation:
- Fermi-level density of states (states/eV per cell) = 13.9



First-principles (GGA-PBE) data for a relaxed structure of SrReAgW2, as listed in Alexandria.

a b c (Å): 4.799 4.753 4.799
angles (deg): 90.00 90.00 90.00
Sites, in units of the cell vectors:
Sr  0.000  0.000  0.000
W  0.000  0.000  0.500
W  0.500  0.000  0.000
Ag  0.500  0.500  0.500
Re  0.000  0.500  0.000

Values from the calculation:
- Fermi-level density of states (states/eV per cell) = 4.1



First-principles (GGA-PBE) data for a relaxed structure of Ta2ReAg, as listed in Alexandria.

a b c (Å): 2.703 4.445 5.749
angles (deg): 90.00 90.00 90.00
Sites, in units of the cell vectors:
Re  0.500  0.500  0.763
Ta  0.500  0.500  0.256
Ta  0.000  0.000  0.984
Ag  0.000  0.000  0.496

Values from the calculation:
- Fermi-level density of states (states/eV per cell) = 3.3
- offset from the most stable computed form (eV per formula unit) = 0.98



First-principles (GGA-PBE) data for a relaxed structure of TaRe2Ag2, as listed in Alexandria.

a b c (Å): 3.623 3.623 7.238
angles (deg): 75.51 75.51 90.00
Sites, in units of the cell vectors:
Ag  0.596  0.596  0.807
Ag  0.404  0.404  0.193
Re  0.750  0.250  0.500
Re  0.250  0.750  0.500
Ta  0.000  0.000  0.000

Values from the calculation:
- Fermi-level density of states (states/eV per cell) = 2.9



First-principles (GGA-PBE) data for a relaxed structure of Ta2ReAg, as listed in Alexandria.

a b c (Å): 4.713 2.791 5.262
angles (deg): 82.90 90.00 90.00
Sites, in units of the cell vectors:
Re  0.500  0.669  0.786
Ag  0.000  0.611  0.478
Ta  0.500  0.236  0.268
Ta  0.000  0.984  0.967

Values from the calculation:
- Fermi-level density of states (states/eV per cell) = 2.8
- offset from the most stable computed form (eV per formula unit) = 0.47



First-principles (GGA-PBE) data for a relaxed structure of TaReAg3, as listed in Alexandria.

a b c (Å): 4.891 4.891 4.891
angles (deg): 90.00 90.00 90.00
Sites, in units of the cell vectors:
Ag  0.500  0.000  0.000
Ag  0.000  0.000  0.500
Ag  0.000  0.500  0.000
Re  0.000  0.000  0.000
Ta  0.500  0.500  0.500

Values from the calculation:
- Fermi-level density of states (states/eV per cell) = 8.7
- offset from the most stable computed form (eV per formula unit) = 0.00



First-principles (GGA-PBE) data for a relaxed structure of Ta2ReAg, as listed in Alexandria.

a b c (Å): 10.201 10.201 10.201
angles (deg): 15.88 15.88 15.88
Sites, in units of the cell vectors:
Re  0.750  0.750  0.750
Ta  0.249  0.249  0.249
Ta  0.003  0.003  0.003
Ag  0.498  0.498  0.498

Values from the calculation:
- Fermi-level density of states (states/eV per cell) = 4.8
- offset from the most stable computed form (eV per formula unit) = 1.15



First-principles (GGA-PBE) data for a relaxed structure of Ta2ReAg, as listed in Alexandria.

a b c (Å): 5.425 5.425 5.425
angles (deg): 144.85 130.20 62.42
Sites, in units of the cell vectors:
Ta  0.756  0.256  0.500
Ta  0.016  0.016  0.000
Ag  0.491  0.491  0.000
Re  0.237  0.737  0.500

Values from the calculation:
- Fermi-level density of states (states/eV per cell) = 3.3
- offset from the most stable computed form (eV per formula unit) = 0.61



First-principles (GGA-PBE) data for a relaxed structure of Ta2ReAg, as listed in Alexandria.

a b c (Å): 5.115 5.115 2.822
angles (deg): 84.87 84.87 110.76
Sites, in units of the cell vectors:
Ag  0.500  0.000  0.500
Re  0.000  0.500  0.500
Ta  0.000  0.000  0.000
Ta  0.500  0.500  0.000

Values from the calculation:
- Fermi-level density of states (states/eV per cell) = 3.0
- offset from the most stable computed form (eV per formula unit) = 0.56



First-principles (GGA-PBE) data for a relaxed structure of Ta3ReAg, as listed in Alexandria.

a b c (Å): 4.783 4.783 4.783
angles (deg): 90.00 90.00 90.00
Sites, in units of the cell vectors:
Re  0.500  0.500  0.500
Ag  0.000  0.000  0.000
Ta  0.000  0.500  0.000
Ta  0.000  0.000  0.500
Ta  0.500  0.000  0.000

Values from the calculation:
- Fermi-level density of states (states/eV per cell) = 7.1
- offset from the most stable computed form (eV per formula unit) = 5.37



First-principles (GGA-PBE) data for a relaxed structure of Ta2ReAg, as listed in Alexandria.

a b c (Å): 4.597 4.597 4.597
angles (deg): 60.00 60.00 60.00
Sites, in units of the cell vectors:
Re  0.500  0.500  0.500
Ta  0.750  0.750  0.750
Ta  0.250  0.250  0.250
Ag  0.000  0.000  0.000

Values from the calculation:
- Fermi-level density of states (states/eV per cell) = 0.3
- offset from the most stable computed form (eV per formula unit) = 0.35



First-principles (GGA-PBE) data for a relaxed structure of Ta2ReAg, as listed in Alexandria.

a b c (Å): 4.607 4.607 3.228
angles (deg): 90.00 90.00 91.26
Sites, in units of the cell vectors:
Ta  0.000  0.000  0.000
Ta  0.500  0.500  0.000
Re  0.000  0.500  0.500
Ag  0.500  0.000  0.500

Values from the calculation:
- Fermi-level density of states (states/eV per cell) = 2.0
- offset from the most stable computed form (eV per formula unit) = 0.28



First-principles (GGA-PBE) data for a relaxed structure of Ta2ReAg, as listed in Alexandria.

a b c (Å): 2.752 2.752 9.091
angles (deg): 90.00 90.00 90.00
Sites, in units of the cell vectors:
Ta  0.000  0.000  0.996
Ta  0.500  0.500  0.250
Re  0.500  0.500  0.749
Ag  0.000  0.000  0.505

Values from the calculation:
- Fermi-level density of states (states/eV per cell) = 3.4
- offset from the most stable computed form (eV per formula unit) = 1.00



First-principles (GGA-PBE) data for a relaxed structure of Ta2ReAg, as listed in Alexandria.

a b c (Å): 4.773 4.773 4.773
angles (deg): 126.31 126.31 79.37
Sites, in units of the cell vectors:
Ag  0.250  0.750  0.500
Ta  0.500  0.500  0.000
Ta  0.000  0.000  0.000
Re  0.750  0.250  0.500

Values from the calculation:
- Fermi-level density of states (states/eV per cell) = 3.1
- offset from the most stable computed form (eV per formula unit) = 0.33



First-principles (GGA-PBE) data for a relaxed structure of Ta2ReAg, as listed in Alexandria.

a b c (Å): 4.268 2.801 6.076
angles (deg): 71.65 90.00 90.00
Sites, in units of the cell vectors:
Ta  0.000  0.562  0.517
Ta  0.000  0.938  0.983
Re  0.500  0.750  0.750
Ag  0.500  0.250  0.250

Values from the calculation:
- Fermi-level density of states (states/eV per cell) = 2.9
- offset from the most stable computed form (eV per formula unit) = 0.32



First-principles (GGA-PBE) data for a relaxed structure of Ta3ReAg, as listed in Alexandria.

a b c (Å): 4.851 4.851 4.851
angles (deg): 90.00 90.00 90.00
Sites, in units of the cell vectors:
Ag  0.500  0.500  0.500
Ta  0.500  0.000  0.000
Ta  0.000  0.000  0.500
Ta  0.000  0.500  0.000
Re  0.000  0.000  0.000

Values from the calculation:
- Fermi-level density of states (states/eV per cell) = 3.7
- offset from the most stable computed form (eV per formula unit) = 0.00



First-principles (GGA-PBE) data for a relaxed structure of Ta2ReAg, as listed in Alexandria.

a b c (Å): 4.584 4.584 4.584
angles (deg): 60.00 60.00 60.00
Sites, in units of the cell vectors:
Ta  0.250  0.250  0.250
Ta  0.000  0.000  0.000
Ag  0.500  0.500  0.500
Re  0.750  0.750  0.750

Values from the calculation:
- Fermi-level density of states (states/eV per cell) = 1.9
- offset from the most stable computed form (eV per formula unit) = 1.21



First-principles (GGA-PBE) data for a relaxed structure of Ta2ReAg, as listed in Alexandria.

a b c (Å): 3.317 3.317 6.251
angles (deg): 90.00 90.00 90.00
Sites, in units of the cell vectors:
Ta  0.500  0.500  0.245
Ta  0.000  0.000  0.986
Re  0.500  0.500  0.768
Ag  0.000  0.000  0.500

Values from the calculation:
- Fermi-level density of states (states/eV per cell) = 1.6
- offset from the most stable computed form (eV per formula unit) = 0.64



First-principles (GGA-PBE) data for a relaxed structure of Ta2ReAg, as listed in Alexandria.

a b c (Å): 5.098 5.098 5.098
angles (deg): 133.60 133.60 67.71
Sites, in units of the cell vectors:
Ag  0.500  0.500  0.000
Ta  0.250  0.750  0.500
Ta  0.000  0.000  0.000
Re  0.750  0.250  0.500

Values from the calculation:
- Fermi-level density of states (states/eV per cell) = 3.7
- offset from the most stable computed form (eV per formula unit) = 0.90



First-principles (GGA-PBE) data for a relaxed structure of Ta2ReAg, as listed in Alexandria.

a b c (Å): 5.025 5.025 5.159
angles (deg): 82.92 82.92 32.09
Sites, in units of the cell vectors:
Ta  0.998  0.998  0.017
Ta  0.754  0.754  0.735
Re  0.245  0.245  0.237
Ag  0.503  0.503  0.510

Values from the calculation:
- Fermi-level density of states (states/eV per cell) = 3.3
- offset from the most stable computed form (eV per formula unit) = 0.83



First-principles (GGA-PBE) data for a relaxed structure of Ta2ReAg, as listed in Alexandria.

a b c (Å): 3.202 3.202 6.756
angles (deg): 90.00 90.00 90.00
Sites, in units of the cell vectors:
Ta  0.000  0.000  0.980
Ta  0.000  0.000  0.520
Re  0.500  0.500  0.750
Ag  0.500  0.500  0.250

Values from the calculation:
- Fermi-level density of states (states/eV per cell) = 2.1
- offset from the most stable computed form (eV per formula unit) = 0.04



First-principles (GGA-PBE) data for a relaxed structure of Ta2ReAg, as listed in Alexandria.

a b c (Å): 9.901 9.901 9.901
angles (deg): 16.62 16.62 16.62
Sites, in units of the cell vectors:
Re  0.750  0.750  0.750
Ag  0.250  0.250  0.250
Ta  0.497  0.497  0.497
Ta  0.003  0.003  0.003

Values from the calculation:
- Fermi-level density of states (states/eV per cell) = 5.1
- offset from the most stable computed form (eV per formula unit) = 0.92



First-principles (GGA-PBE) data for a relaxed structure of Ta4ReAg, as listed in Alexandria.

a b c (Å): 5.367 5.367 5.367
angles (deg): 60.00 60.00 60.00
Sites, in units of the cell vectors:
Ta  0.373  0.373  0.373
Ta  0.373  0.373  0.880
Ta  0.373  0.880  0.373
Ta  0.880  0.373  0.373
Re  0.000  0.000  0.000
Ag  0.750  0.750  0.750

Values from the calculation:
- Fermi-level density of states (states/eV per cell) = 4.9



First-principles (GGA-PBE) data for a relaxed structure of Ta2ReAg, as listed in Alexandria.

a b c (Å): 4.960 4.960 5.284
angles (deg): 84.28 84.28 32.13
Sites, in units of the cell vectors:
Ta  0.498  0.498  0.496
Ta  0.002  0.002  0.004
Ag  0.750  0.750  0.750
Re  0.250  0.250  0.250

Values from the calculation:
- Fermi-level density of states (states/eV per cell) = 4.3
- offset from the most stable computed form (eV per formula unit) = 1.05



First-principles (GGA-PBE) data for a relaxed structure of Ta2ReAg, as listed in Alexandria.

a b c (Å): 2.809 2.809 9.253
angles (deg): 90.00 90.00 109.71
Sites, in units of the cell vectors:
Re  0.500  0.500  0.750
Ag  0.500  0.500  0.250
Ta  0.000  0.000  0.987
Ta  0.000  0.000  0.513

Values from the calculation:
- Fermi-level density of states (states/eV per cell) = 2.6
- offset from the most stable computed form (eV per formula unit) = 0.00



First-principles (GGA-PBE) data for a relaxed structure of Ta2ReAg, as listed in Alexandria.

a b c (Å): 2.792 2.792 9.397
angles (deg): 90.00 90.00 109.57
Sites, in units of the cell vectors:
Ta  0.000  0.000  0.989
Ta  0.500  0.500  0.245
Ag  0.000  0.000  0.504
Re  0.500  0.500  0.761

Values from the calculation:
- Fermi-level density of states (states/eV per cell) = 2.5
- offset from the most stable computed form (eV per formula unit) = 0.40



First-principles (GGA-PBE) data for a relaxed structure of Ta2ReAg, as listed in Alexandria.

a b c (Å): 7.330 7.330 5.891
angles (deg): 51.52 51.52 90.00
Sites, in units of the cell vectors:
Ta  0.875  0.899  0.750
Ta  0.101  0.625  0.250
Ta  0.375  0.351  0.750
Ta  0.649  0.125  0.250
Ag  0.500  0.500  0.000
Ag  0.250  0.750  0.500
Re  0.000  0.000  0.000
Re  0.750  0.250  0.500

Values from the calculation:
- Fermi-level density of states (states/eV per cell) = 7.6
- offset from the most stable computed form (eV per formula unit) = 2.68



First-principles (GGA-PBE) data for a relaxed structure of TaReAg2W, as listed in Alexandria.

a b c (Å): 4.902 4.650 4.902
angles (deg): 90.00 90.00 90.00
Sites, in units of the cell vectors:
Ag  0.000  0.000  0.500
Ag  0.500  0.000  0.000
Ta  0.500  0.500  0.500
Re  0.000  0.500  0.000
W  0.000  0.000  0.000

Values from the calculation:
- Fermi-level density of states (states/eV per cell) = 5.5



no.,energy relative to the elements (meV per atom)
1,939
2,786
3,1997
4,3650
5,323
6,995
7,196
8,2284
9,364
10,230
11,217
12,2379
13,164
14,149
15,327
16,160
17,157
18,1305
19,380
20,236
21,303
22,286
23,87
24,308
25,544
26,341
27,78
28,177
29,746
30,2228